(1)
VASP calculation (PBE) on a relaxed structure of ZrAl2Re.

The formation energy is -0.245 eV per atom. As for the theoretical density: 8.127 g cm⁻³. The value obtained for the magnetic moment is 0.0000 μB/atom. Its offset from the most stable computed form is 36.1 meV per atom. The volume is 68 Å³/cell. The space group is Immm.

abc: 5.260 5.260 5.260
angles: 142.97 128.46 65.14
Element x y z (fractional)
Re 0.750 0.250 0.500
Al 0.984 0.984 0.000
Al 0.516 0.516 0.000
Zr 0.250 0.750 0.500

(2)
VASP calculation (PBE) on a relaxed structure of Zr2AlRe.

The formation energy is -0.050 eV per atom. As for the theoretical density: 8.396 g cm⁻³. The value obtained for the magnetic moment is 0.0000 μB/atom. The volume is 78 Å³/cell. The space group is R-3m.

abc: 9.049 9.049 9.049
angles: 20.33 20.33 20.33
Element x y z (fractional)
Re 0.750 0.750 0.750
Al 0.250 0.250 0.250
Zr 0.005 0.005 0.005
Zr 0.495 0.495 0.495

(3)
VASP calculation (PBE) on a relaxed structure of Zr2AlRe.

The formation energy is -0.388 eV per atom. As for the theoretical density: 8.775 g cm⁻³. The value obtained for the magnetic moment is 0.0000 μB/atom. The volume is 75 Å³/cell. The space group is P4/mmm.

abc: 3.385 3.385 6.535
angles: 90.00 90.00 90.00
Element x y z (fractional)
Zr 0.000 0.000 0.760
Zr 0.000 0.000 0.240
Al 0.500 0.500 0.500
Re 0.500 0.500 0.000